A:
8
Lattice="4.473 0.000 0.000 0.000 4.473 0.000 0.000 0.000 8.993" Properties=species:S:1:pos:R:3 comment="PBE-GGA Pa3Ge, optimized geometry" dos_ef_per_ev_cell=14.3 magmom_total_mub_per_cell=0.0 sg="I4/mmm, No. 139" pbc="T T T"
Pa 0.000 0.000 0.000
Pa 0.000 2.236 2.248
Pa 0.000 2.236 6.745
Pa 2.236 0.000 2.248
Pa 2.236 0.000 6.745
Pa 2.236 2.236 4.497
Ge 0.000 0.000 4.497
Ge 2.236 2.236 0.000



B:
4
Lattice="4.485 0.000 0.000 0.000 4.485 0.000 0.000 0.000 4.499" Properties=species:S:1:pos:R:3 comment="PBE-GGA Pa3Ge, optimized geometry" dos_ef_per_ev_cell=9.1 magmom_total_mub_per_cell=0.0 sg="P4/mmm, No. 123" pbc="T T T"
Pa 0.000 0.000 0.000
Pa 0.000 2.243 2.250
Pa 2.243 0.000 2.250
Ge 2.243 2.243 0.000



Tell me which of them is the least stable. Sure, it is A.



A:
4
Lattice="4.271 0.000 0.000 0.000 4.271 0.000 0.000 0.000 4.271" Properties=species:S:1:pos:R:3 comment="PBE-GGA PaGe3, optimized geometry" dos_ef_per_ev_cell=3.7 magmom_total_mub_per_cell=0.0 sg="Pm-3m, No. 221" pbc="T T T"
Pa 0.000 0.000 0.000
Ge 0.000 2.136 2.136
Ge 2.136 0.000 2.136
Ge 2.136 2.136 0.000



B:
8
Lattice="4.125 0.000 0.000 0.000 4.125 0.000 0.000 0.000 9.415" Properties=species:S:1:pos:R:3 comment="PBE-GGA PaGe3, optimized geometry" dos_ef_per_ev_cell=7.5 magmom_total_mub_per_cell=0.0 sg="I4/mmm, No. 139" pbc="T T T"
Pa 0.000 0.000 0.000
Pa 2.063 2.063 4.708
Ge 0.000 0.000 4.708
Ge 0.000 2.063 2.354
Ge 0.000 2.063 7.061
Ge 2.063 0.000 2.354
Ge 2.063 0.000 7.061
Ge 2.063 2.063 0.000



Tell me which of them is the least stable. Sure, it is B.



A:
4
Lattice="4.783 0.000 0.000 0.000 4.783 0.000 0.000 0.000 4.305" Properties=species:S:1:pos:R:3 comment="PBE-GGA Pa2GePb, optimized geometry" dos_ef_per_ev_cell=8.4 magmom_total_mub_per_cell=1.3 sg="P4/mmm, No. 123" pbc="T T T"
Pa 0.000 2.392 0.000
Pa 2.392 0.000 0.000
Ge 0.000 0.000 2.152
Pb 2.392 2.392 2.152



B:
12
Lattice="4.144 0.000 0.000 -2.072 3.589 0.000 0.000 0.000 22.636" Properties=species:S:1:pos:R:3 comment="PBE-GGA Pa2GePb, optimized geometry" dos_ef_per_ev_cell=15.8 magmom_total_mub_per_cell=0.0 sg="R3m, No. 160" pbc="T T T"
Pa 0.000 0.000 0.000
Pa 0.000 0.000 4.278
Pa 0.000 2.393 15.090
Pa 0.000 2.393 19.368
Pa 2.072 1.196 7.545
Pa 2.072 1.196 11.823
Ge 0.000 0.000 13.497
Ge 0.000 2.393 5.951
Ge 2.072 1.196 21.042
Pb 0.000 0.000 9.680
Pb 0.000 2.393 2.135
Pb 2.072 1.196 17.226



Tell me which of them is the least stable. Sure, it is B.



A:
4
Lattice="3.481 0.000 0.000 0.000 3.481 0.000 0.000 0.000 8.176" Properties=species:S:1:pos:R:3 comment="PBE-GGA Pa2GePb, optimized geometry" dos_ef_per_ev_cell=7.2 magmom_total_mub_per_cell=1.2 sg="P4/mmm, No. 123" pbc="T T T"
Pa 0.000 0.000 1.723
Pa 0.000 0.000 6.453
Ge 1.740 1.740 0.000
Pb 1.740 1.740 4.088



B:
12
Lattice="4.241 0.000 0.000 -2.121 3.673 0.000 0.000 0.000 21.478" Properties=species:S:1:pos:R:3 comment="PBE-GGA Pa2GePb, optimized geometry" dos_ef_per_ev_cell=16.2 magmom_total_mub_per_cell=0.0 sg="R-3m, No. 166" pbc="T T T"
Pa 0.000 0.000 5.157
Pa 0.000 0.000 16.321
Pa 0.000 2.449 9.162
Pa 0.000 2.449 19.475
Pa 2.121 1.224 2.003
Pa 2.121 1.224 12.316
Ge 0.000 0.000 10.739
Ge 0.000 2.449 3.580
Ge 2.121 1.224 17.898
Pb 0.000 0.000 0.000
Pb 0.000 2.449 14.319
Pb 2.121 1.224 7.159



Tell me which of them is the least stable. Sure, it is B.



A:
4
Lattice="4.497 0.000 0.000 0.000 4.497 0.000 0.000 0.000 4.981" Properties=species:S:1:pos:R:3 comment="PBE-GGA PaGePb2, optimized geometry" dos_ef_per_ev_cell=4.1 magmom_total_mub_per_cell=0.0 sg="P4/mmm, No. 123" pbc="T T T"
Pa 0.000 0.000 0.000
Ge 2.248 2.248 0.000
Pb 0.000 2.248 2.491
Pb 2.248 0.000 2.491



B:
12
Lattice="3.301 0.000 0.000 -1.650 2.859 0.000 0.000 0.000 35.291" Properties=species:S:1:pos:R:3 comment="PBE-GGA PaGePb2, optimized geometry" dos_ef_per_ev_cell=13.2 magmom_total_mub_per_cell=1.0 sg="R-3m, No. 166" pbc="T T T"
Pa 0.000 0.000 0.000
Pa 0.000 1.906 23.527
Pa 1.650 0.953 11.764
Ge 0.000 0.000 17.646
Ge 0.000 1.906 5.882
Ge 1.650 0.953 29.409
Pb 0.000 0.000 3.296
Pb 0.000 0.000 31.995
Pb 0.000 1.906 20.231
Pb 0.000 1.906 26.824
Pb 1.650 0.953 8.467
Pb 1.650 0.953 15.060



Tell me which of them is the least stable. Sure, it is B.



A:
4
Lattice="4.154 0.000 0.000 0.000 4.154 0.000 0.000 0.000 4.437" Properties=species:S:1:pos:R:3 comment="PBE-GGA PaGePd2, optimized geometry" dos_ef_per_ev_cell=5.0 magmom_total_mub_per_cell=0.0 sg="P4/mmm, No. 123" pbc="T T T"
Pa 0.000 0.000 0.000
Ge 2.077 2.077 0.000
Pd 0.000 2.077 2.219
Pd 2.077 0.000 2.219



B:
4
Lattice="3.211 0.000 0.000 0.000 3.211 0.000 0.000 0.000 7.079" Properties=species:S:1:pos:R:3 comment="PBE-GGA PaGePd2, optimized geometry" dos_ef_per_ev_cell=3.0 magmom_total_mub_per_cell=0.0 sg="P4/mmm, No. 123" pbc="T T T"
Pa 0.000 0.000 0.000
Ge 0.000 0.000 3.539
Pd 1.606 1.606 2.015
Pd 1.606 1.606 5.063



Tell me which of them is the least stable. Sure, it is A.